Record 1
{
  "formula": "AlMo3Pb",
  "functional": "GGA-PBE",
  "state": "relaxed",
  "lattice_angstrom": [[4.979, 0.000, 0.000], [0.000, 4.979, 0.000], [0.000, 0.000, 4.979]],
  "species": ["Al", "Mo", "Mo", "Mo", "Pb"],
  "frac_coords": [[0.000, 0.000, 0.000], [0.000, 0.500, 0.500], [0.500, 0.000, 0.500], [0.500, 0.500, 0.000], [0.500, 0.500, 0.500]],
  "e_form_mev_per_atom": 2494,
  "magnetic_moment_mub_per_atom": 0.000,
  "total_energy_ev_per_cell": -27.475,
  "e_above_lowest_polymorph_ev_per_fu": 5.59,
  "space_group": "Pm-3m"
}


Record 2
{
  "formula": "ErPaInAg",
  "functional": "GGA-PBE",
  "state": "relaxed",
  "lattice_angstrom": [[0.000, 3.704, 3.704], [3.704, 0.000, 3.704], [3.704, 3.704, 0.000]],
  "species": ["Er", "Pa", "In", "Ag"],
  "frac_coords": [[0.000, 0.000, 0.000], [0.500, 0.500, 0.500], [0.250, 0.250, 0.250], [0.750, 0.750, 0.750]],
  "e_form_mev_per_atom": 33,
  "magnetic_moment_mub_per_atom": 0.487,
  "total_energy_ev_per_cell": -19.516,
  "space_group": "F-43m"
}


Record 3
{
  "formula": "NbAg2Ge",
  "functional": "GGA-PBE",
  "state": "relaxed",
  "lattice_angstrom": [[-1.890, 1.890, 10.560], [1.890, -1.890, 10.560], [1.890, 1.890, -10.560]],
  "species": ["Nb", "Nb", "Ag", "Ag", "Ag", "Ag", "Ge", "Ge"],
  "frac_coords": [[0.000, 0.000, 0.000], [0.750, 0.250, 0.500], [0.126, 0.625, 0.001], [0.375, 0.376, 0.501], [0.624, 0.125, 0.999], [0.875, 0.874, 0.499], [0.250, 0.750, 0.500], [0.500, 0.500, 0.000]],
  "e_form_mev_per_atom": 262,
  "magnetic_moment_mub_per_atom": 0.000,
  "total_energy_ev_per_cell": -38.684,
  "space_group": "I-42d"
}


Record 4
{
  "formula": "AcSm2DySe4",
  "functional": "GGA-PBE",
  "state": "relaxed",
  "lattice_angstrom": [[7.244, 0.000, 0.000], [0.000, 4.158, 0.000], [-2.395, 0.000, 7.101]],
  "species": ["Ac", "Sm", "Sm", "Dy", "Se", "Se", "Se", "Se"],
  "frac_coords": [[0.000, 0.000, 0.000], [0.500, 0.000, 0.500], [0.500, 0.500, 0.000], [0.000, 0.500, 0.500], [0.249, 0.000, 0.736], [0.260, 0.500, 0.267], [0.740, 0.500, 0.733], [0.751, 0.000, 0.264]],
  "magnetic_moment_mub_per_atom": 0.000,
  "total_energy_ev_per_cell": -46.353,
  "formation_energy_uncorrected_ev_per_atom": -1.7833,
  "space_group": "P2/m"
}